# KCu2O2 | the Alexandria database | PBE-GGA | relaxed
# - excess energy over the best structure of this formula in the dataset (kJ/mol of formula units) = 119
# - uncorrected formation energy (eV per atom) = -0.5538
# - density of states at the Fermi level (states/eV/f.u.) = 1.53
data_KCu2O2
_cell_length_a 6.421
_cell_length_b 6.421
_cell_length_c 9.890
_cell_angle_alpha 90.00
_cell_angle_beta 90.00
_cell_angle_gamma 90.00
_space_group_name_H-M_alt 'I 41 m d'
_space_group_IT_number 109
_space_group_name_Hall 'I 4bw -2'
loop_
_atom_site_label
_atom_site_fract_x
_atom_site_fract_y
_atom_site_fract_z
K1 0.000 0.000 0.000
Cu1 0.000 0.309 0.611
O1 0.000 0.209 0.437


# Sn2PdRu | the Alexandria database | PBE-GGA | relaxed
# - excess energy over the best structure of this formula in the dataset (kJ/mol of formula units) = 22
# - density of states at the Fermi level (states/eV/f.u.) = 3.90
# - formation energy (eV per atom) = -0.116
data_Sn2PdRu
_cell_length_a 6.594
_cell_length_b 6.594
_cell_length_c 6.594
_cell_angle_alpha 90.00
_cell_angle_beta 90.00
_cell_angle_gamma 90.00
_space_group_name_H-M_alt 'F m -3 m'
_space_group_IT_number 225
_space_group_name_Hall '-F 4 2 3'
loop_
_atom_site_label
_atom_site_fract_x
_atom_site_fract_y
_atom_site_fract_z
Sn1 0.250 0.250 0.250
Pd1 0.000 0.000 0.000
Ru1 0.000 0.000 0.500


# B4Pt | the Alexandria database | PBE-GGA | relaxed
# - density of states at the Fermi level (states/eV/f.u.) = 4.20
# - formation energy (eV per atom) = 1.885
data_B4Pt
_cell_length_a 4.107
_cell_length_b 4.107
_cell_length_c 4.107
_cell_angle_alpha 90.00
_cell_angle_beta 90.00
_cell_angle_gamma 90.00
_space_group_name_H-M_alt 'P m -3 m'
_space_group_IT_number 221
_space_group_name_Hall '-P 4 2 3'
loop_
_atom_site_label
_atom_site_fract_x
_atom_site_fract_y
_atom_site_fract_z
B1 0.000 0.000 0.000
B2 0.000 0.500 0.500
Pt1 0.500 0.500 0.500


# TmBeCo4Si2 | the Alexandria database | PBE-GGA | relaxed
# - uncorrected formation energy (eV per atom) = -0.5249
# - density of states at the Fermi level (states/eV/f.u.) = 4.79
data_TmBeCo4Si2
_cell_length_a 3.8425
_cell_length_b 3.8425
_cell_length_c 23.1819
_cell_angle_alpha 90.00
_cell_angle_beta 90.00
_cell_angle_gamma 120.00
_space_group_name_H-M_alt 'R -3 m'
_space_group_IT_number 166
_space_group_name_Hall '-R 3 2"'
loop_
_atom_site_label
_atom_site_fract_x
_atom_site_fract_y
_atom_site_fract_z
Tm1 0.0000 0.0000 0.0000
Be1 0.0000 0.0000 0.5000
Co1 0.0000 0.0000 0.1334
Co2 0.0000 0.0000 0.4078
Si1 0.0000 0.0000 0.2354


# Cs3BaSb2O6 | the Alexandria database | PBE-GGA | relaxed
# - uncorrected formation energy (eV per atom) = -1.6761
# - density of states at the Fermi level (states/eV/f.u.) = 5.14
data_Cs3BaSb2O6
_cell_length_a 6.7499
_cell_length_b 6.7499
_cell_length_c 8.0748
_cell_angle_alpha 90.00
_cell_angle_beta 90.00
_cell_angle_gamma 120.00
_space_group_name_H-M_alt 'P -3 m 1'
_space_group_IT_number 164
_space_group_name_Hall '-P 3 2"'
loop_
_atom_site_label
_atom_site_fract_x
_atom_site_fract_y
_atom_site_fract_z
Cs1 0.0000 0.0000 0.0000
Cs2 0.3333 0.6667 0.6592
Ba1 0.0000 0.0000 0.5000
Sb1 0.3333 0.6667 0.1986
O1 0.1826 0.3652 0.3003


# Ca3IrO6 | the Alexandria database | PBE-GGA | relaxed
# - uncorrected formation energy (eV per atom) = -2.1471
# - density of states at the Fermi level (states/eV/f.u.) = 0.77
data_Ca3IrO6
_cell_length_a 9.4565
_cell_length_b 9.4565
_cell_length_c 11.0407
_cell_angle_alpha 90.00
_cell_angle_beta 90.00
_cell_angle_gamma 120.00
_space_group_name_H-M_alt 'R -3'
_space_group_IT_number 148
_space_group_name_Hall '-R 3'
loop_
_atom_site_label
_atom_site_fract_x
_atom_site_fract_y
_atom_site_fract_z
Ca1 0.0422 0.7729 0.2041
Ir1 0.0000 0.0000 0.0000
Ir2 0.0000 0.0000 0.5000
O1 0.0271 0.8479 0.8951
O2 0.0277 0.8404 0.4034


# Li2LaBRu | the Alexandria database | PBE-GGA | relaxed
# - density of states at the Fermi level (states/eV/f.u.) = 3.71
# - formation energy (eV per atom) = -0.002
data_Li2LaBRu
_cell_length_a 4.309
_cell_length_b 4.309
_cell_length_c 4.325
_cell_angle_alpha 90.00
_cell_angle_beta 90.00
_cell_angle_gamma 90.00
_space_group_name_H-M_alt 'P 4/m m m'
_space_group_IT_number 123
_space_group_name_Hall '-P 4 2'
loop_
_atom_site_label
_atom_site_fract_x
_atom_site_fract_y
_atom_site_fract_z
Li1 0.000 0.500 0.000
La1 0.000 0.000 0.500
B1 0.500 0.500 0.000
Ru1 0.500 0.500 0.500


# La2GaOs | the Alexandria database | PBE-GGA | relaxed
# - density of states at the Fermi level (states/eV/f.u.) = 3.77
# - formation energy (eV per atom) = -0.337
data_La2GaOs
_cell_length_a 6.255
_cell_length_b 4.046
_cell_length_c 8.796
_cell_angle_alpha 90.00
_cell_angle_beta 110.56
_cell_angle_gamma 90.00
_space_group_name_H-M_alt 'P 1 21/m 1'
_space_group_IT_number 11
loop_
_space_group_symop_operation_xyz
'x,y,z'
'-x,-y,-z'
'-x,y+1/2,-z'
'x,-y+1/2,z'
loop_
_atom_site_label
_atom_site_fract_x
_atom_site_fract_y
_atom_site_fract_z
La1 0.191 0.250 0.407
La2 0.272 0.750 0.049
Ga1 0.346 0.750 0.714
Os1 0.126 0.250 0.785


# Er2Th2Sc7 | the Alexandria database | PBE-GGA | relaxed
# - excess energy over the best structure of this formula in the dataset (kJ/mol of formula units) = 0
# - density of states at the Fermi level (states/eV/f.u.) = 16.20
# - formation energy (eV per atom) = 0.142
data_Er2Th2Sc7
_cell_length_a 3.446
_cell_length_b 10.922
_cell_length_c 16.033
_cell_angle_alpha 90.00
_cell_angle_beta 90.00
_cell_angle_gamma 90.00
_space_group_name_H-M_alt 'I m m m'
_space_group_IT_number 71
_space_group_name_Hall '-I 2 2'
loop_
_atom_site_label
_atom_site_fract_x
_atom_site_fract_y
_atom_site_fract_z
Er1 0.000 0.000 0.188
Th1 0.000 0.262 0.000
Sc1 0.000 0.235 0.329
Sc2 0.000 0.500 0.120
Sc3 0.000 0.500 0.500


| no. | M_tot (μB/cell) |
| --- | --- |
| 1 | 4.2 |
| 2 | 0.0 |
| 3 | 0.0 |
| 4 | 0.0 |
| 5 | 1.0 |
| 6 | 18.1 |
| 7 | 0.0 |
| 8 | 0.0 |
| 9 | 0.0 |